[1]
Pr2Nd2As5: optimized geometry, PBE-GGA.

Its calculated total energy is -211.15 eV per cell.

The structure belongs to space group Cmce (No. 64); the cell edges are 15.696, 7.788 and 7.877 Å and the angles 90.00°, 90.00° and 90.00°. The asymmetric unit holds Pr at (0.000, 0.168, 0.170), Nd at (0.187, 0.000, 0.500), As at (0.000, 0.000, 0.500) and As at (0.140, 0.122, 0.879).


[2]
Pr3NdAs4: optimized geometry, PBE-GGA.

The calculation puts the energy above the most stable polymorph in this dataset at 2.6 meV per atom.

The structure belongs to space group Cmmm (No. 65); the cell edges are 8.598, 12.156 and 4.303 Å and the angles 90.00°, 90.00° and 90.00°. The asymmetric unit holds Pr at (0.000, 0.000, 0.000), Pr at (0.250, 0.250, 0.500), Nd at (0.000, 0.500, 0.000), As at (0.000, 0.251, 0.000) and As at (0.249, 0.500, 0.500).


[3]
Pr5NdAs6: optimized geometry, PBE-GGA.

Its calculated total energy is -149.21 eV per cell.

The structure belongs to space group C2/m (No. 12); the cell edges are 7.453, 12.906 and 7.453 Å and the angles 90.00°, 109.48° and 90.00°. The asymmetric unit holds Pr at (0.000, 0.000, 0.000), Pr at (0.000, 0.167, 0.500), Pr at (0.000, 0.333, 0.000), Nd at (0.000, 0.500, 0.500), As at (0.249, 0.334, 0.749) and As at (0.249, 0.500, 0.251).


[4]
PrNd3As4: optimized geometry, PBE-GGA.

The calculation puts the energy above the most stable polymorph in this dataset at 2.7 meV per atom.

The structure belongs to space group Cmmm (No. 65); the cell edges are 8.563, 12.106 and 4.284 Å and the angles 90.00°, 90.00° and 90.00°. The asymmetric unit holds Pr at (0.000, 0.000, 0.000), Nd at (0.000, 0.500, 0.000), Nd at (0.250, 0.250, 0.500), As at (0.000, 0.251, 0.000) and As at (0.249, 0.500, 0.500).


[5]
Pr3NdAs4: optimized geometry, PBE-GGA.

The calculation puts the energy above the most stable polymorph in this dataset at 0.0 meV per atom.

The structure belongs to space group Pm-3m (No. 221); the cell edges are 6.078, 6.078 and 6.078 Å and the angles 90.00°, 90.00° and 90.00°. The asymmetric unit holds Pr at (0.000, 0.000, 0.500), Nd at (0.500, 0.500, 0.500), As at (0.000, 0.000, 0.000) and As at (0.000, 0.500, 0.500).


[6]
PrNd3As4: optimized geometry, PBE-GGA.

The calculation puts the energy above the most stable polymorph in this dataset at 0.0 meV per atom.

The structure belongs to space group Pm-3m (No. 221); the cell edges are 6.053, 6.053 and 6.053 Å and the angles 90.00°, 90.00° and 90.00°. The asymmetric unit holds Pr at (0.000, 0.000, 0.000), Nd at (0.000, 0.500, 0.500), As at (0.000, 0.000, 0.500) and As at (0.500, 0.500, 0.500).


Computed M_tot, in the same sequence as the records: 0.00; 0.00; 0.00; 0.00; 0.00; 0.00 μB/cell.